Material: Li2Ni3SnO8
Method: DFT, GGA+U
State: optimized geometry

extended XYZ file:
```
14
Lattice="2.938 1.696 4.962 -2.938 1.696 4.962 0.000 -3.392 4.962" Properties=species:S:1:pos:R:3 pbc="T T T"
Li 0.000 0.000 1.793
Li 0.000 0.000 13.092
Ni -1.469 -0.848 4.962
Ni -1.469 0.848 9.924
Ni 0.000 1.696 4.962
Sn 0.000 0.000 7.443
O 0.000 -1.567 6.076
O -1.357 0.784 6.076
O 0.000 0.000 3.953
O -1.357 -0.784 8.809
O 1.357 0.784 6.076
O 0.000 0.000 10.932
O 1.357 -0.784 8.809
O 0.000 1.567 8.809
```

- total magnetization (μB per atom) = 0.1429
- ρ (g/cm3) = 4.9
- crystal system = trigonal
- E_tot (eV/atom) = -5.104
- DOS(E_F) (states/eV per atom) = 0.42